An optimized crystal structure of LiMgCuAg. Source: Alexandria, functional PBE.

Values from the calculation:
formation enthalpy at 0 K = -0.119 eV/atom
total magnetization = 0.00 Bohr magnetons per cell
space-group type = No. 119
density of states at the Fermi level = 0.284 states/eV per atom
final energy = -2.733 eV per atom

Structure (CIF):
```
data_LiMgCuAg
_chemical_formula_sum 'Li1 Mg1 Cu1 Ag1'
_symmetry_space_group_name_H-M 'P 1'
_symmetry_Int_Tables_number 1
_symmetry_space_group_name_Hall 'P 1'
_cell_length_a 4.785
_cell_length_b 4.785
_cell_length_c 4.785
_cell_angle_alpha 129.43
_cell_angle_beta 129.43
_cell_angle_gamma 74.32
loop_
_atom_site_label
_atom_site_type_symbol
_atom_site_fract_x
_atom_site_fract_y
_atom_site_fract_z
_atom_site_occupancy
Li1 Li 0.000 0.000 0.000 1
Mg1 Mg 0.500 0.500 0.000 1
Cu1 Cu 0.750 0.250 0.500 1
Ag1 Ag 0.250 0.750 0.500 1
```

***

An optimized crystal structure of LiCu2AgN. Source: Alexandria, functional PBE.

Values from the calculation:
total magnetization = 0.00 Bohr magnetons per cell
space-group type = No. 123
density of states at the Fermi level = 0.299 states/eV per atom
final energy = -4.209 eV per atom

Structure (CIF):
```
data_LiCu2AgN
_chemical_formula_sum 'Li1 Cu2 Ag1 N1'
_symmetry_space_group_name_H-M 'P 1'
_symmetry_Int_Tables_number 1
_symmetry_space_group_name_Hall 'P 1'
_cell_length_a 3.861
_cell_length_b 3.861
_cell_length_c 4.118
_cell_angle_alpha 90.00
_cell_angle_beta 90.00
_cell_angle_gamma 90.00
loop_
_atom_site_label
_atom_site_type_symbol
_atom_site_fract_x
_atom_site_fract_y
_atom_site_fract_z
_atom_site_occupancy
Li1 Li 0.000 0.000 0.000 1
Cu1 Cu 0.000 0.500 0.500 1
Cu2 Cu 0.500 0.000 0.500 1
Ag1 Ag 0.500 0.500 0.000 1
N1 N 0.000 0.000 0.500 1
```

***

An optimized crystal structure of LiCu2NiAg. Source: Alexandria, functional PBE.

Values from the calculation:
formation enthalpy at 0 K = 0.624 eV/atom
total magnetization = 0.00 Bohr magnetons per cell
space-group type = No. 123
density of states at the Fermi level = 0.197 states/eV per atom
final energy = -3.124 eV per atom

Structure (CIF):
```
data_LiCu2NiAg
_chemical_formula_sum 'Li1 Cu2 Ni1 Ag1'
_symmetry_space_group_name_H-M 'P 1'
_symmetry_Int_Tables_number 1
_symmetry_space_group_name_Hall 'P 1'
_cell_length_a 4.109
_cell_length_b 4.109
_cell_length_c 4.035
_cell_angle_alpha 90.00
_cell_angle_beta 90.00
_cell_angle_gamma 90.00
loop_
_atom_site_label
_atom_site_type_symbol
_atom_site_fract_x
_atom_site_fract_y
_atom_site_fract_z
_atom_site_occupancy
Li1 Li 0.000 0.000 0.000 1
Cu1 Cu 0.000 0.500 0.000 1
Cu2 Cu 0.500 0.000 0.000 1
Ni1 Ni 0.000 0.000 0.500 1
Ag1 Ag 0.500 0.500 0.500 1
```

***

An optimized crystal structure of LiCuNiAg. Source: Alexandria, functional PBE.

Values from the calculation:
formation enthalpy at 0 K = 0.042 eV/atom
total magnetization = 0.00 Bohr magnetons per cell
space-group type = No. 216
density of states at the Fermi level = 0.444 states/eV per atom
final energy = -3.619 eV per atom

Structure (CIF):
```
data_LiCuNiAg
_chemical_formula_sum 'Li1 Cu1 Ni1 Ag1'
_symmetry_space_group_name_H-M 'P 1'
_symmetry_Int_Tables_number 1
_symmetry_space_group_name_Hall 'P 1'
_cell_length_a 4.222
_cell_length_b 4.222
_cell_length_c 4.222
_cell_angle_alpha 60.00
_cell_angle_beta 60.00
_cell_angle_gamma 60.00
loop_
_atom_site_label
_atom_site_type_symbol
_atom_site_fract_x
_atom_site_fract_y
_atom_site_fract_z
_atom_site_occupancy
Li1 Li 0.000 0.000 0.000 1
Cu1 Cu 0.250 0.250 0.250 1
Ni1 Ni 0.500 0.500 0.500 1
Ag1 Ag 0.750 0.750 0.750 1
```

***

An optimized crystal structure of Li2CuAgO2. Source: Alexandria, functional PBE.

Values from the calculation:
total magnetization = 0.00 Bohr magnetons per cell
space-group type = No. 58
final energy = -4.530 eV per atom

Structure (CIF):
```
data_Li2CuAgO2
_chemical_formula_sum 'Li4 Cu2 Ag2 O4'
_symmetry_space_group_name_H-M 'P 1'
_symmetry_Int_Tables_number 1
_symmetry_space_group_name_Hall 'P 1'
_cell_length_a 3.726
_cell_length_b 10.345
_cell_length_c 3.650
_cell_angle_alpha 90.00
_cell_angle_beta 90.00
_cell_angle_gamma 90.00
loop_
_atom_site_label
_atom_site_type_symbol
_atom_site_fract_x
_atom_site_fract_y
_atom_site_fract_z
_atom_site_occupancy
Li1 Li 0.112 0.249 0.000 1
Li2 Li 0.388 0.749 0.500 1
Li3 Li 0.612 0.251 0.500 1
Li4 Li 0.888 0.751 0.000 1
Cu1 Cu 0.000 0.500 0.500 1
Cu2 Cu 0.500 0.000 0.000 1
Ag1 Ag 0.000 0.000 0.500 1
Ag2 Ag 0.500 0.500 0.000 1
O1 O 0.121 0.331 0.500 1
O2 O 0.379 0.831 0.000 1
O3 O 0.621 0.169 0.000 1
O4 O 0.879 0.669 0.500 1
```

***

An optimized crystal structure of Li2CuAgO4. Source: Alexandria, functional PBE.

Values from the calculation:
total magnetization = 0.00 Bohr magnetons per cell
space-group type = No. 10
density of states at the Fermi level = 0.029 states/eV per atom
final energy = -4.717 eV per atom

Structure (CIF):
```
data_Li2CuAgO4
_chemical_formula_sum 'Li2 Cu1 Ag1 O4'
_symmetry_space_group_name_H-M 'P 1'
_symmetry_Int_Tables_number 1
_symmetry_space_group_name_Hall 'P 1'
_cell_length_a 5.718
_cell_length_b 2.847
_cell_length_c 5.923
_cell_angle_alpha 90.00
_cell_angle_beta 118.16
_cell_angle_gamma 90.00
loop_
_atom_site_label
_atom_site_type_symbol
_atom_site_fract_x
_atom_site_fract_y
_atom_site_fract_z
_atom_site_occupancy
Li1 Li 0.000 0.000 0.000 1
Li2 Li 0.000 0.500 0.500 1
Cu1 Cu 0.500 0.000 0.000 1
Ag1 Ag 0.500 0.500 0.500 1
O1 O 0.213 0.000 0.394 1
O2 O 0.259 0.500 0.916 1
O3 O 0.741 0.500 0.084 1
O4 O 0.787 0.000 0.606 1
```

***

An optimized crystal structure of LiCuAgP. Source: Alexandria, functional PBE.

Values from the calculation:
formation enthalpy at 0 K = -0.094 eV/atom
total magnetization = 0.00 Bohr magnetons per cell
space-group type = No. 216
density of states at the Fermi level = 0.334 states/eV per atom
final energy = -3.662 eV per atom

Structure (CIF):
```
data_LiCuAgP
_chemical_formula_sum 'Li1 Cu1 Ag1 P1'
_symmetry_space_group_name_H-M 'P 1'
_symmetry_Int_Tables_number 1
_symmetry_space_group_name_Hall 'P 1'
_cell_length_a 4.315
_cell_length_b 4.315
_cell_length_c 4.315
_cell_angle_alpha 60.00
_cell_angle_beta 60.00
_cell_angle_gamma 60.00
loop_
_atom_site_label
_atom_site_type_symbol
_atom_site_fract_x
_atom_site_fract_y
_atom_site_fract_z
_atom_site_occupancy
Li1 Li 0.000 0.000 0.000 1
Cu1 Cu 0.500 0.500 0.500 1
Ag1 Ag 0.750 0.750 0.750 1
P1 P 0.250 0.250 0.250 1
```

***

An optimized crystal structure of LiCu2AgPd. Source: Alexandria, functional PBE.

Values from the calculation:
formation enthalpy at 0 K = 0.486 eV/atom
total magnetization = 0.00 Bohr magnetons per cell
space-group type = No. 123
density of states at the Fermi level = 0.096 states/eV per atom
final energy = -3.144 eV per atom

Structure (CIF):
```
data_LiCu2AgPd
_chemical_formula_sum 'Li1 Cu2 Ag1 Pd1'
_symmetry_space_group_name_H-M 'P 1'
_symmetry_Int_Tables_number 1
_symmetry_space_group_name_Hall 'P 1'
_cell_length_a 4.129
_cell_length_b 4.129
_cell_length_c 4.293
_cell_angle_alpha 90.00
_cell_angle_beta 90.00
_cell_angle_gamma 90.00
loop_
_atom_site_label
_atom_site_type_symbol
_atom_site_fract_x
_atom_site_fract_y
_atom_site_fract_z
_atom_site_occupancy
Li1 Li 0.000 0.000 0.000 1
Cu1 Cu 0.000 0.500 0.000 1
Cu2 Cu 0.500 0.000 0.000 1
Ag1 Ag 0.000 0.000 0.500 1
Pd1 Pd 0.500 0.500 0.500 1
```

***

An optimized crystal structure of LiCuAgPd. Source: Alexandria, functional PBE.

Values from the calculation:
formation enthalpy at 0 K = -0.213 eV/atom
total magnetization = 0.00 Bohr magnetons per cell
space-group type = No. 47
density of states at the Fermi level = 0.214 states/eV per atom
final energy = -3.726 eV per atom

Structure (CIF):
```
data_LiCuAgPd
_chemical_formula_sum 'Li1 Cu1 Ag1 Pd1'
_symmetry_space_group_name_H-M 'P 1'
_symmetry_Int_Tables_number 1
_symmetry_space_group_name_Hall 'P 1'
_cell_length_a 3.497
_cell_length_b 4.044
_cell_length_c 4.078
_cell_angle_alpha 90.00
_cell_angle_beta 90.00
_cell_angle_gamma 90.00
loop_
_atom_site_label
_atom_site_type_symbol
_atom_site_fract_x
_atom_site_fract_y
_atom_site_fract_z
_atom_site_occupancy
Li1 Li 0.000 0.000 0.000 1
Cu1 Cu 0.000 0.500 0.500 1
Ag1 Ag 0.500 0.500 0.000 1
Pd1 Pd 0.500 0.000 0.500 1
```

***

An optimized crystal structure of Li5CuAg2Pd2. Source: Alexandria, functional PBE.

Values from the calculation:
formation enthalpy at 0 K = -0.130 eV/atom
total magnetization = 0.00 Bohr magnetons per cell
space-group type = No. 127
density of states at the Fermi level = 0.348 states/eV per atom
final energy = -3.106 eV per atom

Structure (CIF):
```
data_Li5CuAg2Pd2
_chemical_formula_sum 'Li10 Cu2 Ag4 Pd4'
_symmetry_space_group_name_H-M 'P 1'
_symmetry_Int_Tables_number 1
_symmetry_space_group_name_Hall 'P 1'
_cell_length_a 9.276
_cell_length_b 9.276
_cell_length_c 3.736
_cell_angle_alpha 90.00
_cell_angle_beta 90.00
_cell_angle_gamma 90.00
loop_
_atom_site_label
_atom_site_type_symbol
_atom_site_fract_x
_atom_site_fract_y
_atom_site_fract_z
_atom_site_occupancy
Li1 Li 0.000 0.500 0.000 1
Li2 Li 0.071 0.198 0.000 1
Li3 Li 0.198 0.929 0.000 1
Li4 Li 0.302 0.429 0.000 1
Li5 Li 0.429 0.698 0.000 1
Li6 Li 0.500 0.000 0.000 1
Li7 Li 0.571 0.302 0.000 1
Li8 Li 0.698 0.571 0.000 1
Li9 Li 0.802 0.071 0.000 1
Li10 Li 0.929 0.802 0.000 1
Cu1 Cu 0.000 0.000 0.500 1
Cu2 Cu 0.500 0.500 0.500 1
Ag1 Ag 0.177 0.677 0.500 1
Ag2 Ag 0.323 0.177 0.500 1
Ag3 Ag 0.677 0.823 0.500 1
Ag4 Ag 0.823 0.323 0.500 1
Pd1 Pd 0.116 0.384 0.500 1
Pd2 Pd 0.384 0.884 0.500 1
Pd3 Pd 0.616 0.116 0.500 1
Pd4 Pd 0.884 0.616 0.500 1
```

***

An optimized crystal structure of Li3Pm2Cu12Ag. Source: Alexandria, functional PBE.

Values from the calculation:
formation enthalpy at 0 K = 0.140 eV/atom
total magnetization = 0.00 Bohr magnetons per cell
space-group type = No. 166
density of states at the Fermi level = 0.379 states/eV per atom
final energy = -3.596 eV per atom

Structure (CIF):
```
data_Li3Pm2Cu12Ag
_chemical_formula_sum 'Li3 Pm2 Cu12 Ag1'
_symmetry_space_group_name_H-M 'P 1'
_symmetry_Int_Tables_number 1
_symmetry_space_group_name_Hall 'P 1'
_cell_length_a 9.976
_cell_length_b 9.976
_cell_length_c 9.976
_cell_angle_alpha 35.44
_cell_angle_beta 35.44
_cell_angle_gamma 35.44
loop_
_atom_site_label
_atom_site_type_symbol
_atom_site_fract_x
_atom_site_fract_y
_atom_site_fract_z
_atom_site_occupancy
Li1 Li 0.000 0.500 0.500 1
Li2 Li 0.500 0.000 0.500 1
Li3 Li 0.500 0.500 0.000 1
Pm1 Pm 0.139 0.139 0.139 1
Pm2 Pm 0.861 0.861 0.861 1
Cu1 Cu 0.056 0.622 0.622 1
Cu2 Cu 0.086 0.086 0.696 1
Cu3 Cu 0.086 0.696 0.086 1
Cu4 Cu 0.304 0.914 0.914 1
Cu5 Cu 0.378 0.378 0.944 1
Cu6 Cu 0.378 0.944 0.378 1
Cu7 Cu 0.622 0.056 0.622 1
Cu8 Cu 0.622 0.622 0.056 1
Cu9 Cu 0.696 0.086 0.086 1
Cu10 Cu 0.914 0.304 0.914 1
Cu11 Cu 0.914 0.914 0.304 1
Cu12 Cu 0.944 0.378 0.378 1
Ag1 Ag 0.500 0.500 0.500 1
```

***

An optimized crystal structure of LiPmCuAg. Source: Alexandria, functional PBE.

Values from the calculation:
formation enthalpy at 0 K = -0.106 eV/atom
total magnetization = 0.00 Bohr magnetons per cell
space-group type = No. 216
density of states at the Fermi level = 0.640 states/eV per atom
final energy = -3.509 eV per atom

Structure (CIF):
```
data_LiPmCuAg
_chemical_formula_sum 'Li1 Pm1 Cu1 Ag1'
_symmetry_space_group_name_H-M 'P 1'
_symmetry_Int_Tables_number 1
_symmetry_space_group_name_Hall 'P 1'
_cell_length_a 4.903
_cell_length_b 4.903
_cell_length_c 4.903
_cell_angle_alpha 60.00
_cell_angle_beta 60.00
_cell_angle_gamma 60.00
loop_
_atom_site_label
_atom_site_type_symbol
_atom_site_fract_x
_atom_site_fract_y
_atom_site_fract_z
_atom_site_occupancy
Li1 Li 0.000 0.000 0.000 1
Pm1 Pm 0.500 0.500 0.500 1
Cu1 Cu 0.750 0.750 0.750 1
Ag1 Ag 0.250 0.250 0.250 1
```